DFT (GGA-PBE) results for a geometry-optimized SmY4Ho2Tm2 structure.

Summary:
Space group: C2/m, No. 12
Energy of formation from the pure elements, kJ/mol of atoms: 0.3
Calculated volume, Å³ per cell: 285

Geometry as POSCAR:
```
SmY4Ho2Tm2
1.0
-2.0595 2.8421 0.7096
-6.4734 -6.9107 -0.1435
4.4908 1.1825 8.2976
Ho Tm Y Sm
2 2 4 1
direct
0.8514 0.7029 0.3319
0.1486 0.2971 0.6681
0.3321 0.6643 0.0005
0.6679 0.3357 0.9995
0.8140 0.6281 0.6664
0.1860 0.3719 0.3336
0.4813 0.9626 0.6646
0.5187 0.0374 0.3354
0.0000 0.0000 0.0000
```


DFT (GGA-PBE) results for a geometry-optimized TbGaCuPt structure.

Summary:
Space group: F-43m, No. 216
Energy of formation from the pure elements, kJ/mol of atoms: -60.3
Calculated volume, Å³ per cell: 72

Geometry as POSCAR:
```
TbGaCuPt
1.0
-2.4613 -2.4523 3.1113
-2.3769 -3.7752 -1.3603
1.4360 -4.2476 1.2837
Cu Ga Pt Tb
1 1 1 1
direct
0.2500 0.2500 0.2500
0.0000 0.0000 0.0000
0.7500 0.7500 0.7500
0.5000 0.5000 0.5000
```


DFT (GGA-PBE) results for a geometry-optimized Rb2SrScI6 structure.

Summary:
Formation energy (no corrections), eV per atom: -1.355
Space group: Fm-3m, No. 225
Calculated volume, Å³ per cell: 470

Geometry as POSCAR:
```
Rb2SrScI6
1.0
-7.9621 -3.5725 0.0229
0.7091 -1.5254 8.5632
-6.1026 2.9773 5.4825
I Sr Sc Rb
6 1 1 2
direct
0.7394 0.7394 0.0000
0.2606 0.2606 0.0000
0.2606 0.7394 0.0000
0.7394 0.2606 0.0000
0.7394 0.7394 0.5211
0.2606 0.2606 0.4789
0.0000 0.0000 0.0000
0.5000 0.5000 0.0000
0.2500 0.7500 0.5000
0.7500 0.2500 0.5000
```


DFT (GGA-PBE) results for a geometry-optimized La3Pm7Er structure.

Summary:
Space group: C2/m, No. 12
Energy of formation from the pure elements, kJ/mol of atoms: 21.3
Calculated volume, Å³ per cell: 397

Geometry as POSCAR:
```
La3Pm7Er
1.0
6.5251 -0.0242 0.3906
0.3778 7.7621 1.0768
-0.0572 0.0184 7.8445
Pm La Er
7 3 1
direct
0.2623 0.4319 0.0900
0.2129 0.7600 0.7600
0.7871 0.2400 0.2400
0.7377 0.9100 0.5681
0.2623 0.0900 0.4319
0.0000 0.5000 0.5000
0.7377 0.5681 0.9100
0.0000 0.8246 0.1754
0.5000 0.0000 0.0000
0.0000 0.1754 0.8246
0.5000 0.5000 0.5000
```


DFT (GGA-PBE) results for a geometry-optimized RbCrAsI6 structure.

Summary:
Formation energy (no corrections), eV per atom: -0.480
Space group: P312, No. 149
Calculated volume, Å³ per cell: 402

Geometry as POSCAR:
```
RbCrAsI6
1.0
-3.8383 4.9323 -4.1615
-2.6137 -2.0096 -6.7460
-7.0271 -2.5339 3.4777
I As Rb Cr
6 1 1 1
direct
0.3766 0.6278 0.2999
0.3767 0.9954 0.7000
0.9954 0.6278 0.7001
0.9954 0.3767 0.2999
0.6278 0.9955 0.2999
0.6278 0.3767 0.7000
0.3333 0.3334 0.5000
0.0000 0.0000 0.0000
0.6667 0.6667 0.5000
```


DFT (GGA-PBE) results for a geometry-optimized TaPS structure.

Summary:
Formation energy (no corrections), eV per atom: -0.379
Space group: Pmmm, No. 47
Calculated volume, Å³ per cell: 120

Geometry as POSCAR:
```
TaPS
1.0
5.9188 0.2245 0.3621
-2.3344 4.4304 0.4153
1.2501 3.0567 4.9303
Ta S P
2 2 2
direct
0.8660 0.0000 0.1340
0.3657 0.0000 0.6343
0.1159 0.0000 0.3841
0.6159 0.0000 0.8841
0.8658 0.4998 0.1342
0.3659 0.5002 0.6341
```


DFT (GGA-PBE) results for a geometry-optimized PrCuRh2 structure.

Summary:
Space group: R-3m, No. 166
Energy of formation from the pure elements, kJ/mol of atoms: 42.8
Calculated volume, Å³ per cell: 71

Geometry as POSCAR:
```
PrCuRh2
1.0
2.9773 0.0000 0.0000
1.4887 2.5785 0.0000
1.4887 0.8595 9.2859
Pr Rh Cu
1 2 1
direct
0.0000 0.0000 0.0000
0.9040 0.9040 0.2878
0.0959 0.0959 0.7122
0.5000 0.5000 0.5000
```


DFT (GGA-PBE) results for a geometry-optimized CaCrTe4 structure.

Summary:
Formation energy (no corrections), eV per atom: 0.259
Space group: F-43m, No. 216
Calculated volume, Å³ per cell: 186

Geometry as POSCAR:
```
CaCrTe4
1.0
-2.6887 -3.5181 4.6380
-4.3970 2.6141 3.8665
-6.1446 -1.7713 -0.4730
Te Cr Ca
4 1 1
direct
0.3746 0.8762 0.3746
0.3746 0.3746 0.8762
0.3746 0.3746 0.3746
0.8762 0.3746 0.3746
0.0000 0.0000 0.0000
0.7500 0.7500 0.7500
```


DFT (GGA-PBE) results for a geometry-optimized Ho8InAg2 structure.

Summary:
Space group: C2/m, No. 12
Energy of formation from the pure elements, kJ/mol of atoms: -16.9
Calculated volume, Å³ per cell: 304

Geometry as POSCAR:
```
Ho8InAg2
1.0
-4.5735 2.3471 0.5394
-2.0556 -5.3519 5.8585
6.0493 5.6363 1.9999
Ho In Ag
8 1 2
direct
0.9373 0.2711 0.8746
0.8511 0.7926 0.7023
0.6018 0.4625 0.2035
0.6860 0.9649 0.3721
0.0627 0.7289 0.1254
0.3982 0.5375 0.7965
0.3140 0.0351 0.6279
0.1489 0.2074 0.2977
0.5000 0.0000 0.0000
0.2152 0.6205 0.4304
0.7848 0.3795 0.5696
```


DFT (GGA-PBE) results for a geometry-optimized NaInSi3 structure.

Summary:
Formation energy (no corrections), eV per atom: 1.039
Space group: Pm-3m, No. 221
Calculated volume, Å³ per cell: 144

Geometry as POSCAR:
```
NaInSi3
1.0
-1.0332 1.0539 -5.0295
-3.4757 -3.9220 -0.1078
-3.7850 3.3138 1.4719
Si In Na
3 1 1
direct
0.5000 0.0000 0.0000
0.0000 0.0000 0.5000
0.0000 0.5000 0.0000
0.0000 0.0000 0.0000
0.5000 0.5000 0.5000
```


DFT (GGA-PBE) results for a geometry-optimized KAlIO2 structure.

Summary:
Formation energy (no corrections), eV per atom: -1.035
Space group: P4/mmm, No. 123
Calculated volume, Å³ per cell: 96

Geometry as POSCAR:
```
KAlIO2
1.0
4.0861 0.0000 0.0000
0.0000 4.0861 0.0000
0.0000 0.0000 5.7687
Al I O K
1 1 2 1
direct
0.0000 0.0000 0.0000
0.0000 0.0000 0.5000
0.5000 0.0000 0.0000
0.0000 0.5000 0.0000
0.5000 0.5000 0.5000
```


DFT (GGA-PBE) results for a geometry-optimized KMnAg2Br8 structure.

Summary:
Formation energy (no corrections), eV per atom: -0.608
Space group: P-1, No. 2
Calculated volume, Å³ per cell: 401

Geometry as POSCAR:
```
KMnAg2Br8
1.0
-6.7980 -0.2612 4.1727
6.0738 -2.4247 2.1849
0.9348 7.9135 4.1122
Mn Ag Br K
1 2 8 1
direct
0.0000 0.0000 0.0000
0.5374 0.5513 0.2805
0.4626 0.4487 0.7195
0.1412 0.3154 0.1985
0.5020 0.2308 0.4564
0.6567 0.9050 0.0799
0.3433 0.0950 0.9201
0.4980 0.7692 0.5436
0.0582 0.2980 0.8259
0.9418 0.7020 0.1741
0.8588 0.6846 0.8015
0.0000 0.0000 0.5000
```


DFT (GGA-PBE) results for a geometry-optimized RbHf2MgSb structure.

Summary:
Formation energy (no corrections), eV per atom: 1.260
Space group: P4/mmm, No. 123
Calculated volume, Å³ per cell: 157

Geometry as POSCAR:
```
RbHf2MgSb
1.0
5.2964 0.0000 0.0000
0.0000 5.2964 0.0000
0.0000 0.0000 5.5841
Hf Mg Rb Sb
2 1 1 1
direct
0.5000 0.0000 0.0000
0.0000 0.5000 0.0000
0.0000 0.0000 0.0000
0.0000 0.0000 0.5000
0.5000 0.5000 0.5000
```


DFT (GGA-PBE) results for a geometry-optimized Mn2NbPd2 structure.

Summary:
Space group: I4/mmm, No. 139
Energy of formation from the pure elements, kJ/mol of atoms: 28.4
Calculated volume, Å³ per cell: 75

Geometry as POSCAR:
```
Mn2NbPd2
1.0
3.3137 0.0000 0.0000
0.0000 3.3137 0.0000
1.6568 1.6568 6.8134
Nb Mn Pd
1 2 2
direct
0.0000 0.0000 0.0000
0.2500 0.7500 0.5000
0.7500 0.2500 0.5000
0.3990 0.3990 0.2020
0.6010 0.6010 0.7980
```


DFT (GGA-PBE) results for a geometry-optimized Er2BeCu structure.

Summary:
Space group: Fm-3m, No. 225
Energy of formation from the pure elements, kJ/mol of atoms: -8.6
Calculated volume, Å³ per cell: 79

Geometry as POSCAR:
```
Er2BeCu
1.0
4.8219 0.0000 0.0000
2.4109 4.1759 0.0000
2.4109 1.3920 3.9370
Be Er Cu
1 2 1
direct
0.0000 0.0000 0.0000
0.7500 0.7500 0.7500
0.2500 0.2500 0.2500
0.5000 0.5000 0.5000
```


DFT (GGA-PBE) results for a geometry-optimized NaZnCo2 structure.

Summary:
Space group: I-42d, No. 122
Energy of formation from the pure elements, kJ/mol of atoms: 63.9
Calculated volume, Å³ per cell: 132

Geometry as POSCAR:
```
NaZnCo2
1.0
-0.1487 2.8532 -2.5471
-2.6280 1.7757 2.1426
5.1628 6.6337 4.2536
Co Zn Na
4 2 2
direct
0.0304 0.6250 0.2500
0.7196 0.1250 0.2500
0.3750 0.2804 0.7500
0.8750 0.9696 0.7500
0.7500 0.2500 0.5000
0.0000 0.0000 0.0000
0.5000 0.5000 0.0000
0.2500 0.7500 0.5000
```


DFT (GGA-PBE) results for a geometry-optimized CeTmPd14 structure.

Summary:
Space group: P4/mmm, No. 123
Energy of formation from the pure elements, kJ/mol of atoms: -41.9
Calculated volume, Å³ per cell: 264

Geometry as POSCAR:
```
CeTmPd14
1.0
5.7874 -0.0122 0.0000
0.0124 5.7874 0.0000
0.0000 0.0000 7.8761
Pd Ce Tm
14 1 1
direct
0.1249 0.1249 0.7563
0.8750 0.3750 0.0000
0.6251 0.6251 0.2437
0.6252 0.1248 0.7563
0.3750 0.8750 0.5000
0.3750 0.8750 0.0000
0.1248 0.6252 0.2437
0.1249 0.1249 0.2437
0.8750 0.8750 0.0000
0.6252 0.1248 0.2437
0.8750 0.3750 0.5000
0.6251 0.6251 0.7563
0.1248 0.6252 0.7563
0.3750 0.3750 0.0000
0.8750 0.8750 0.5000
0.3750 0.3750 0.5000
```


DFT (GGA-PBE) results for a geometry-optimized Na2Ho2RhO6 structure.

Summary:
Formation energy (no corrections), eV per atom: -2.190
Space group: C2/m, No. 12
Calculated volume, Å³ per cell: 160

Geometry as POSCAR:
```
Na2Ho2RhO6
1.0
5.6959 -0.0183 0.1558
-2.8311 4.9425 0.1558
-0.9222 -1.5852 5.5761
O Rh Ho Na
6 1 2 2
direct
0.7507 0.7507 0.7017
0.0441 0.3595 0.6938
0.3595 0.0441 0.6938
0.2493 0.2493 0.2983
0.6405 0.9559 0.3062
0.9559 0.6405 0.3062
0.0000 0.0000 0.5000
0.6631 0.3369 0.5000
0.3369 0.6631 0.5000
0.8530 0.1470 0.0000
0.1470 0.8530 0.0000
```


DFT (GGA-PBE) results for a geometry-optimized Ta2Cu2W structure.

Summary:
Space group: P4/mbm, No. 127
Energy of formation from the pure elements, kJ/mol of atoms: 24.4
Calculated volume, Å³ per cell: 154

Geometry as POSCAR:
```
Ta2Cu2W
1.0
6.8467 0.0000 0.0000
0.0000 6.8467 0.0000
0.0000 0.0000 3.2807
Cu W Ta
4 2 4
direct
0.1201 0.3799 0.0000
0.6201 0.1201 0.0000
0.8799 0.6201 0.0000
0.3799 0.8799 0.0000
0.0000 0.0000 0.0000
0.5000 0.5000 0.0000
0.8187 0.3187 0.5000
0.3187 0.1813 0.5000
0.6813 0.8187 0.5000
0.1813 0.6813 0.5000
```


DFT (GGA-PBE) results for a geometry-optimized PmBiSe structure.

Summary:
Formation energy (no corrections), eV per atom: -1.006
Space group: I4mm, No. 107
Calculated volume, Å³ per cell: 87

Geometry as POSCAR:
```
PmBiSe
1.0
-3.5248 1.2661 -0.8268
0.5963 -0.7633 -3.7112
-0.6713 -5.6904 3.0445
Se Pm Bi
1 1 1
direct
0.2945 0.2945 0.5890
0.7002 0.7002 0.4004
0.0053 0.0053 0.0107
```


DFT (GGA-PBE) results for a geometry-optimized La2GdFe structure.

Summary:
Space group: R-3m, No. 166
Energy of formation from the pure elements, kJ/mol of atoms: 36.5
Calculated volume, Å³ per cell: 112

Geometry as POSCAR:
```
La2GdFe
1.0
-4.2849 0.3406 1.8114
-0.6136 -0.3137 4.6133
-0.9598 5.8780 2.6301
Gd Fe La
1 1 2
direct
0.5000 0.5000 0.5000
0.0000 0.0000 0.0000
0.7251 0.7251 0.8248
0.2749 0.2749 0.1752
```


DFT (GGA-PBE) results for a geometry-optimized LaCdP2O structure.

Summary:
Formation energy (no corrections), eV per atom: -0.047
Space group: P4/mmm, No. 123
Calculated volume, Å³ per cell: 141

Geometry as POSCAR:
```
LaCdP2O
1.0
5.7659 0.0000 0.0000
0.0000 5.7659 0.0000
0.0000 0.0000 4.2377
La P O Cd
1 2 1 1
direct
0.0000 0.0000 0.0000
0.5000 0.0000 0.0000
0.0000 0.5000 0.0000
0.0000 0.0000 0.5000
0.5000 0.5000 0.5000
```


DFT (GGA-PBE) results for a geometry-optimized Li4MgCd3 structure.

Summary:
Space group: C2/m, No. 12
Energy of formation from the pure elements, kJ/mol of atoms: -18.8
Calculated volume, Å³ per cell: 154

Geometry as POSCAR:
```
Li4MgCd3
1.0
3.6590 0.0000 0.0000
0.0000 4.4129 -1.2992
-1.8295 -3.9153 10.6747
Cd Mg Li
3 1 4
direct
0.1345 0.4020 0.2691
0.0000 0.5000 0.0000
0.8655 0.5980 0.7309
0.5000 0.0000 0.0000
0.6208 0.8609 0.2416
0.7543 0.7623 0.5086
0.3792 0.1391 0.7584
0.2457 0.2377 0.4914
```


DFT (GGA-PBE) results for a geometry-optimized FeSbTe2 structure.

Summary:
Formation energy (no corrections), eV per atom: 0.617
Space group: Pmmm, No. 47
Calculated volume, Å³ per cell: 98

Geometry as POSCAR:
```
FeSbTe2
1.0
-0.9076 -2.1582 -2.6348
-2.4764 -3.2670 3.5290
-4.3532 2.6101 -0.6385
Sb Te Fe
1 2 1
direct
0.0000 0.5000 0.5000
0.5000 0.5000 0.0000
0.0000 0.0000 0.0000
0.5000 0.0000 0.5000
```


DFT (GGA-PBE) results for a geometry-optimized KHgI2 structure.

Summary:
Formation energy (no corrections), eV per atom: -0.612
Space group: Fm-3m, No. 225
Calculated volume, Å³ per cell: 148

Geometry as POSCAR:
```
KHgI2
1.0
0.0000 4.1996 4.1996
4.1996 0.0000 4.1996
4.1996 4.1996 0.0000
I K Hg
2 1 1
direct
0.7500 0.7500 0.7500
0.2500 0.2500 0.2500
0.0000 0.0000 0.0000
0.5000 0.5000 0.5000
```